(1)
This record from Alexandria via LeMat-Bulk describes a geometry-optimized Fe4AgRh structure. The functional is GGA-PBE.

Computed properties:
Space group: F-43m, No. 216
Calculated total energy, Ry/atom: -0.5286
Energy of formation from the pure elements, eV per atom: 0.150
DOS at the Fermi energy, states/eV/cell: 3.5

Cell lengths 4.8060, 4.8060, 4.8060 Å; angles 60.00, 60.00, 60.00 degrees
Site moments in Bohr magnetons follow the coordinates.
Atoms (fractional coordinates):
Fe 0.8758 0.3747 0.3747  2.37
Fe 0.3747 0.3747 0.8758  2.37
Fe 0.3747 0.8758 0.3747  2.37
Fe 0.3747 0.3747 0.3747  2.37
Ag 0.0000 0.0000 0.0000  0.05
Rh 0.7500 0.7500 0.7500  0.79

---

(2)
This record from Alexandria via LeMat-Bulk describes a geometry-optimized FeAgRh2 structure. The functional is GGA-PBE.

Computed properties:
Space group: R-3m, No. 166
E above lowest polymorph, meV/atom: 0.0
Calculated total energy, Ry/atom: -0.4717
Energy of formation from the pure elements, eV per atom: 0.087
DOS at the Fermi energy, states/eV/cell: 5.4

Cell lengths 9.0371, 9.0371, 9.0371 Å; angles 17.63, 17.63, 17.63 degrees
Site moments in Bohr magnetons follow the coordinates.
Atoms (fractional coordinates):
Ag 0.2500 0.2500 0.2500  0.04
Fe 0.7500 0.7500 0.7500  3.01
Rh 0.0075 0.0075 0.0075  0.71
Rh 0.4925 0.4925 0.4925  0.71

---

(3)
This record from Alexandria via LeMat-Bulk describes a geometry-optimized FeAg2Rh structure. The functional is GGA-PBE.

Computed properties:
Space group: Imm2, No. 44
E above lowest polymorph, meV/atom: 130.4
Calculated total energy, Ry/atom: -0.3748
Energy of formation from the pure elements, eV per atom: 0.279
DOS at the Fermi energy, states/eV/cell: 2.8

Cell lengths 5.1516, 5.1516, 5.1516 Å; angles 143.37, 127.98, 65.29 degrees
Site moments in Bohr magnetons follow the coordinates.
Atoms (fractional coordinates):
Ag 0.0048 0.0048 0.0000  0.01
Ag 0.7368 0.2368 0.5000  0.02
Fe 0.4846 0.4846 0.0000  3.11
Rh 0.2738 0.7738 0.5000  0.72

---

(4)
This record from Alexandria via LeMat-Bulk describes a geometry-optimized Fe2AgRh structure. The functional is GGA-PBE.

Computed properties:
Space group: Cmm2, No. 35
Calculated total energy, Ry/atom: -0.4834
Energy of formation from the pure elements, eV per atom: 0.205
DOS at the Fermi energy, states/eV/cell: 3.9

Cell lengths 2.6655, 2.6655, 8.7655 Å; angles 90.00, 90.00, 113.79 degrees
Site moments in Bohr magnetons follow the coordinates.
Atoms (fractional coordinates):
Ag 0.5000 0.5000 0.7583  0.01
Fe 0.0000 0.0000 0.0220  2.73
Fe 0.5000 0.5000 0.2416  2.82
Rh 0.0000 0.0000 0.4781  0.63

---

(5)
This record from Alexandria via LeMat-Bulk describes a geometry-optimized FeAg2Rh structure. The functional is GGA-PBE.

Computed properties:
Space group: Pmmm, No. 47
E above lowest polymorph, meV/atom: 180.1
Calculated total energy, Ry/atom: -0.3712
Energy of formation from the pure elements, eV per atom: 0.329
DOS at the Fermi energy, states/eV/cell: 2.9

Cell lengths 2.7467, 4.2007, 5.4073 Å; angles 90.00, 90.00, 90.00 degrees
Site moments in Bohr magnetons follow the coordinates.
Atoms (fractional coordinates):
Ag 0.0000 0.0000 0.0021  0.02
Ag 0.0000 0.0000 0.4979  0.02
Fe 0.5000 0.5000 0.2500  3.06
Rh 0.5000 0.5000 0.7500  0.66

---

(6)
This record from Alexandria via LeMat-Bulk describes a geometry-optimized FeAgRh2 structure. The functional is GGA-PBE.

Computed properties:
Space group: I4/mmm, No. 139
E above lowest polymorph, meV/atom: 134.6
Calculated total energy, Ry/atom: -0.4618
Energy of formation from the pure elements, eV per atom: 0.221
DOS at the Fermi energy, states/eV/cell: 6.7

Cell lengths 4.6960, 4.6960, 4.6960 Å; angles 130.41, 130.41, 72.76 degrees
Site moments in Bohr magnetons follow the coordinates.
Atoms (fractional coordinates):
Ag 0.2500 0.7500 0.5000  0.05
Fe 0.7500 0.2500 0.5000  3.06
Rh 0.0000 0.0000 0.0000  0.52
Rh 0.5000 0.5000 0.0000  0.52